Record 1
A plane-wave DFT calculation with PBE was carried out for SmY2Rh3 after structural relaxation.

```
SmY2Rh3
1.0
3.457 0.000 0.000
0.000 3.457 0.000
0.000 0.000 10.388
Y Rh Sm
2 3 1
Cartesian
1.729 1.729 1.714
1.729 1.729 8.674
0.000 0.000 0.000
0.000 0.000 3.422
0.000 0.000 6.966
1.729 1.729 5.194
```

Calculated values
energy of formation: -0.796 eV per atom
total magnetization: 0.00 μB/f.u.
symmetry: P4/mmm, No. 123

---

Record 2
A plane-wave DFT calculation with PBE was carried out for BeCr2Ga2 after structural relaxation.

```
BeCr2Ga2
1.0
-2.614 0.574 5.084
0.557 -5.644 0.923
3.488 0.626 1.723
Cr Be Ga
4 2 4
Cartesian
-1.893 -3.116 4.965
-1.595 -0.421 3.381
-0.164 -1.953 1.043
-0.463 -4.649 2.626
0.000 0.000 0.000
-1.029 -2.535 3.004
-0.247 -1.085 5.400
0.462 -4.001 5.025
1.678 -3.359 2.331
0.969 -0.443 2.706
```

Calculated values
energy of formation: 0.159 eV per atom
total magnetization: 0.00 μB/f.u.
symmetry: P4/mbm, No. 127

---

Record 3
A plane-wave DFT calculation with PBE was carried out for LaCo after structural relaxation.

```
LaCo
1.0
-0.331 -0.046 -3.771
-3.004 -0.763 2.174
-1.741 7.045 0.068
Co La
2 2
Cartesian
-2.548 1.237 0.209
-2.528 4.999 -1.739
0.000 0.000 0.000
-0.871 3.522 0.034
```

Calculated values
energy of formation: 0.263 eV per atom
total magnetization: 0.00 μB/f.u.
symmetry: P6_3/mmc, No. 194

---

Record 4
A plane-wave DFT calculation with PBE was carried out for PuAl2Ag2 after structural relaxation.

```
PuAl2Ag2
1.0
-1.871 4.152 -3.505
-6.026 0.583 -0.806
-1.227 6.435 3.572
Ag Pu Al
4 2 4
Cartesian
-1.635 2.395 0.177
-3.399 4.227 -1.421
-7.490 8.776 -0.916
-5.726 6.943 0.682
-2.659 5.492 2.039
-6.466 5.679 -2.778
-5.471 2.730 -2.087
-5.588 4.476 0.036
-3.537 6.695 -0.775
-3.654 8.441 1.348
```

Calculated values
energy of formation: 0.002 eV per atom
total magnetization: 5.95 μB/f.u.
symmetry: C2/c, No. 15

---

> Which of these has the highest total magnetization?

PuAl2Ag2